(1)
Density functional theory data (PBE-GGA) for a relaxed Pr9Sm4Zn11 crystal.

Results
For the formation energy, the calculation gives -5.48 eV/f.u. As for the crystal system: orthorhombic. The calculation puts the spin magnetization at 0.0 μB/f.u.

a b c (Å): 3.593 13.561 13.561
angles (deg): 110.24 90.00 90.00
Sites, in units of the cell vectors:
Pr 0.500 0.625 0.143
Pr 0.500 0.375 0.857
Pr 0.500 0.143 0.625
Pr 0.500 0.857 0.375
Pr 0.500 0.794 0.967
Pr 0.500 0.206 0.033
Pr 0.500 0.967 0.794
Pr 0.500 0.033 0.206
Pr 0.500 0.500 0.500
Sm 0.500 0.566 0.749
Sm 0.500 0.434 0.251
Sm 0.500 0.749 0.566
Sm 0.500 0.251 0.434
Zn 0.000 0.584 0.942
Zn 0.000 0.416 0.058
Zn 0.000 0.942 0.584
Zn 0.000 0.058 0.416
Zn 0.000 0.635 0.365
Zn 0.000 0.365 0.635
Zn 0.000 0.830 0.170
Zn 0.000 0.170 0.830
Zn 0.000 0.000 0.000
Zn 0.000 0.757 0.757
Zn 0.000 0.243 0.243

(2)
Density functional theory data (PBE-GGA) for a relaxed PrSm2Zr crystal.

Results
The distance to the lowest polymorph of the same formula is 0.604 eV per formula unit. For the formation energy, the calculation gives 1.02 eV/f.u. As for the crystal system: cubic. The calculation puts the spin magnetization at 1.3 μB/f.u.

a b c (Å): 5.596 5.596 5.596
angles (deg): 60.00 60.00 60.00
Site moments in Bohr magnetons follow the coordinates.
Sites, in units of the cell vectors:
Pr 0.000 0.000 0.000  -0.03
Zr 0.500 0.500 0.500  0.58
Sm 0.250 0.250 0.250  0.10
Sm 0.750 0.750 0.750  0.10

(3)
Density functional theory data (PBE-GGA) for a relaxed PrSm2Zr crystal.

Results
The distance to the lowest polymorph of the same formula is 0.926 eV per formula unit. For the formation energy, the calculation gives 1.34 eV/f.u. As for the crystal system: trigonal. The calculation puts the spin magnetization at 0.0 μB/f.u.

a b c (Å): 3.431 3.431 12.406
angles (deg): 82.05 82.05 60.00
Sites, in units of the cell vectors:
Pr 0.500 0.500 0.500
Zr 0.000 0.000 0.000
Sm 0.084 0.084 0.747
Sm 0.916 0.916 0.253

(4)
Density functional theory data (PBE-GGA) for a relaxed PrSmZr2 crystal.

Results
The distance to the lowest polymorph of the same formula is 0.020 eV per formula unit. For the formation energy, the calculation gives 0.83 eV/f.u. As for the crystal system: trigonal. The calculation puts the spin magnetization at 0.0 μB/f.u.

a b c (Å): 3.401 3.401 11.274
angles (deg): 81.32 81.32 60.00
Sites, in units of the cell vectors:
Pr 0.000 0.000 0.000
Zr 0.751 0.751 0.748
Zr 0.249 0.249 0.252
Sm 0.500 0.500 0.500

- Look up the formation energy of the second one.
  1.02 eV/f.u.

- Among the records above, which one has the highest spin magnetization?
  number 2

- Look up the formation energy of the first one.
  -5.48 eV/f.u.